Here is an optimized crystal structure of PuIn from OQMD. Energies are from GGA-PBE.

Cell lengths 6.1044, 6.1044, 6.1044 Å; angles 90.00, 90.00, 90.00 degrees
Space group Fm-3m (No. 225)
Inequivalent atoms, fractional coordinates:
Pu1 0.0000 0.0000 0.0000
In1 0.0000 0.0000 0.5000

Results
DFT total energy: -8.02 eV/atom


Here is an optimized crystal structure of TmThW from OQMD. Energies are from GGA-PBE.

Cell lengths 6.8727, 6.8727, 6.8727 Å; angles 90.00, 90.00, 90.00 degrees
Space group F-43m (No. 216)
Inequivalent atoms, fractional coordinates:
Tm1 0.0000 0.0000 0.0000
Th1 0.2500 0.2500 0.7500
W1 0.2500 0.2500 0.2500

Results
energy of formation: 1.306 eV per atom